# Tb4SmDy5 (PBE-GGA, relaxed)
# - Final energy: -0.1590 hartree per atom
# - Mass density: 8.1 Mg/m³
# - Energy relative to the elements: 298 meV/atom
# - Total moment: 0.00 μB per atom
# - Space group: I4
data_Tb4SmDy5
_chemical_formula_sum 'Tb4 Sm1 Dy5'
_cell_length_a 7.874
_cell_length_b 7.874
_cell_length_c 7.874
_cell_angle_alpha 99.08
_cell_angle_beta 99.08
_cell_angle_gamma 133.19
_symmetry_space_group_name_H-M 'P 1'
_symmetry_Int_Tables_number 1
loop_
_symmetry_equiv_pos_as_xyz
'x,y,z'
loop_
_atom_site_label
_atom_site_fract_x
_atom_site_fract_y
_atom_site_fract_z
_atom_site_occupancy
Tb1 0.047 0.348 0.395 1
Tb2 0.348 0.953 0.301 1
Tb3 0.652 0.047 0.699 1
Tb4 0.953 0.652 0.605 1
Sm1 0.769 0.769 0.000 1
Dy1 0.227 0.227 0.000 1
Dy2 0.266 0.645 0.917 1
Dy3 0.349 0.266 0.621 1
Dy4 0.645 0.729 0.379 1
Dy5 0.729 0.349 0.083 1